# 1
The following is a DFT calculation (PBE-GGA) of a relaxed structure of RbLiAg2Sn.

Values from the calculation:
Space-group type ... No. 123
Relative energy among the computed polymorphs ... 0 meV per atom
ΔH_f (0 K) ... -0.04 eV/atom

Lattice parameters (Å, degrees): 5.380 5.380 5.391 90.00 90.00 90.00
Element x y z (fractional)
1 Rb 0.000 0.000 0.000
2 Li 0.500 0.500 0.000
3 Ag 0.000 0.500 0.500
4 Ag 0.500 0.000 0.500
5 Sn 0.500 0.500 0.500

***

# 2
The following is a DFT calculation (PBE-GGA) of a relaxed structure of RbLi2AgSn.

Values from the calculation:
Space-group type ... No. 123
ΔH_f (0 K) ... -0.12 eV/atom

Lattice parameters (Å, degrees): 5.397 5.397 5.366 90.00 90.00 90.00
Element x y z (fractional)
1 Rb 0.000 0.000 0.000
2 Li 0.000 0.500 0.500
3 Li 0.500 0.000 0.500
4 Ag 0.500 0.500 0.000
5 Sn 0.500 0.500 0.500

***

# 3
The following is a DFT calculation (PBE-GGA) of a relaxed structure of RbLiAg2Sn.

Values from the calculation:
Space-group type ... No. 123
Relative energy among the computed polymorphs ... 471 meV per atom
ΔH_f (0 K) ... 0.44 eV/atom

Lattice parameters (Å, degrees): 5.059 5.059 5.244 90.00 90.00 90.00
Element x y z (fractional)
1 Rb 0.000 0.000 0.000
2 Li 0.000 0.000 0.500
3 Ag 0.000 0.500 0.500
4 Ag 0.500 0.000 0.500
5 Sn 0.500 0.500 0.000

***

# 4
The following is a DFT calculation (PBE-GGA) of a relaxed structure of RbSrLi2Ag.

Values from the calculation:
Space-group type ... No. 123
Relative energy among the computed polymorphs ... 761 meV per atom
ΔH_f (0 K) ... 0.86 eV/atom

Lattice parameters (Å, degrees): 6.330 6.330 7.936 90.00 90.00 90.00
Element x y z (fractional)
1 Rb 0.000 0.000 0.000
2 Sr 0.000 0.000 0.500
3 Li 0.000 0.500 0.500
4 Li 0.500 0.000 0.500
5 Ag 0.500 0.500 0.000

***

# 5
The following is a DFT calculation (PBE-GGA) of a relaxed structure of RbSrLi2Ag.

Values from the calculation:
Space-group type ... No. 123
Relative energy among the computed polymorphs ... 0 meV per atom
ΔH_f (0 K) ... 0.10 eV/atom

Lattice parameters (Å, degrees): 5.650 5.650 6.047 90.00 90.00 90.00
Element x y z (fractional)
1 Rb 0.000 0.000 0.000
2 Sr 0.500 0.500 0.000
3 Li 0.000 0.500 0.500
4 Li 0.500 0.000 0.500
5 Ag 0.500 0.500 0.500

***

# 6
The following is a DFT calculation (PBE-GGA) of a relaxed structure of RbLiAgTe2.

Values from the calculation:
Space-group type ... No. 119
Formation energy from raw total energies ... -0.664 eV per atom

Lattice parameters (Å, degrees): 7.418 7.418 7.418 142.24 142.24 54.47
Element x y z (fractional)
1 Rb 0.000 0.000 0.000
2 Li 0.750 0.250 0.500
3 Ag 0.250 0.750 0.500
4 Te 0.365 0.365 0.000
5 Te 0.635 0.635 0.000

***

# 7
The following is a DFT calculation (PBE-GGA) of a relaxed structure of Rb2LiAgTe2.

Values from the calculation:
Space-group type ... No. 72
Formation energy from raw total energies ... -0.836 eV per atom

Lattice parameters (Å, degrees): 9.549 9.549 9.549 137.11 62.40 136.94
Element x y z (fractional)
1 Rb 0.167 0.242 0.409
2 Rb 0.333 0.742 0.074
3 Rb 0.667 0.258 0.926
4 Rb 0.833 0.758 0.591
5 Li 0.250 0.750 0.500
6 Li 0.750 0.250 0.500
7 Ag 0.250 0.250 0.000
8 Ag 0.750 0.750 0.000
9 Te 0.097 0.743 0.840
10 Te 0.403 0.243 0.646
11 Te 0.597 0.757 0.354
12 Te 0.903 0.257 0.160

***

# 8
The following is a DFT calculation (PBE-GGA) of a relaxed structure of RbLiV2Ag.

Values from the calculation:
Space-group type ... No. 123
ΔH_f (0 K) ... 1.33 eV/atom

Lattice parameters (Å, degrees): 5.210 5.210 6.235 90.00 90.00 90.00
Element x y z (fractional)
1 Rb 0.000 0.000 0.000
2 Li 0.500 0.500 0.000
3 V 0.000 0.500 0.500
4 V 0.500 0.000 0.500
5 Ag 0.000 0.000 0.500

***

# 9
The following is a DFT calculation (PBE-GGA) of a relaxed structure of Rb2LiZrAg.

Values from the calculation:
Space-group type ... No. 123
ΔH_f (0 K) ... 0.83 eV/atom

Lattice parameters (Å, degrees): 6.588 6.588 5.584 90.00 90.00 90.00
Element x y z (fractional)
1 Rb 0.000 0.500 0.000
2 Rb 0.500 0.000 0.000
3 Li 0.000 0.000 0.500
4 Zr 0.500 0.500 0.500
5 Ag 0.500 0.500 0.000

***

# 10
The following is a DFT calculation (PBE-GGA) of a relaxed structure of Li2ReAg.

Values from the calculation:
Space-group type ... No. 35
Relative energy among the computed polymorphs ... 138 meV per atom
ΔH_f (0 K) ... 0.27 eV/atom

Lattice parameters (Å, degrees): 2.654 2.654 9.535 90.00 90.00 107.59
Element x y z (fractional)
1 Li 0.000 0.000 0.000
2 Li 0.500 0.500 0.279
3 Re 0.500 0.500 0.770
4 Ag 0.000 0.000 0.512

***

# 11
The following is a DFT calculation (PBE-GGA) of a relaxed structure of LiReAg.

Values from the calculation:
Space-group type ... No. 156
Relative energy among the computed polymorphs ... 0 meV per atom
ΔH_f (0 K) ... 0.31 eV/atom

Lattice parameters (Å, degrees): 2.728 2.728 7.233 90.00 90.00 120.00
Element x y z (fractional)
1 Li 0.000 0.000 0.000
2 Re 0.667 0.333 0.323
3 Ag 0.333 0.667 0.674

***

# 12
The following is a DFT calculation (PBE-GGA) of a relaxed structure of Li2ReAg.

Values from the calculation:
Space-group type ... No. 25
Relative energy among the computed polymorphs ... 240 meV per atom
ΔH_f (0 K) ... 0.37 eV/atom

Lattice parameters (Å, degrees): 2.587 4.794 4.937 90.00 90.00 90.00
Element x y z (fractional)
1 Li 0.000 0.000 0.000
2 Li 0.500 0.500 0.166
3 Re 0.000 0.500 0.662
4 Ag 0.500 0.000 0.510

***

The records above yield magnetic moment values of 0.00 0.00 0.00 0.00 0.00 0.00 0.00 7.55 2.15 0.00 0.00 0.00 μB/f.u., respectively.